# K2InTc (PBE-GGA, relaxed)
data_K2InTc
_cell_length_a 3.830
_cell_length_b 4.618
_cell_length_c 5.909
_cell_angle_alpha 90.00
_cell_angle_beta 90.00
_cell_angle_gamma 90.00
_symmetry_space_group_name_H-M 'P m m m'
_symmetry_Int_Tables_number 47
loop_
_symmetry_equiv_pos_as_xyz
'x,y,z'
'-x,-y,-z'
'-x,-y,z'
'x,y,-z'
'x,-y,-z'
'-x,y,z'
'-x,y,-z'
'x,-y,z'
loop_
_atom_site_label
_atom_site_type_symbol
_atom_site_fract_x
_atom_site_fract_y
_atom_site_fract_z
K1 K 0.000 0.000 0.000
K2 K 0.500 0.500 0.000
In1 In 0.000 0.500 0.500
Tc1 Tc 0.500 0.000 0.500
# - V (Å³ per cell) = 104.50
# - formation energy (eV/atom) = 0.917
# - spin magnetization (Bohr magnetons per cell) = 1.3
# - E_tot (eV for the cell shown) = -11.6